This record from the Alexandria database describes a relaxed ScAs3Au crystal. The functional is GGA-PBE.

Lattice parameters (Å, degrees): 5.002 5.002 5.002 90.00 90.00 90.00
Sites, in units of the cell vectors:
Sc: 0.500 0.500 0.500
As: 0.000 0.500 0.000
As: 0.000 0.000 0.500
As: 0.500 0.000 0.000
Au: 0.000 0.000 0.000

Summary:
Its space-group type is Pm-3m. Its calculated formation energy is 0.454 eV per atom.